# PuMnPd2

A relaxed structure of PuMnPd2 (PBE, the Alexandria database).

a = 3.2369 Å, b = 3.2369 Å, c = 6.9721 Å
α = 90.00°, β = 90.00°, γ = 90.00°
With the nearest neighbours (Å) after each atom.
Atoms (fractional coordinates):
Mn1 0.5000 0.5000 0.0000  8 Pd 2.71
Pd1 0.0000 0.0000 0.7908  4 Mn 2.71, 1 Pd 2.92
Pd2 0.0000 0.0000 0.2092  4 Mn 2.71, 1 Pd 2.92
Pu1 0.5000 0.5000 0.5000  8 Pd 3.06, 4 Pu 3.24

Volume ... 73.1 Å³/cell
Final energy ... -0.321 hartree per atom
ΔE_f ... -0.265 eV per atom